Record 1
The following is a DFT calculation (PBE-GGA) of crystalline ZrTi3Al at its relaxed geometry.

Output
- ΔE to the lowest computed polymorph: 504.1 meV per atom
- V: 21.29 A^3/atom
- E_tot: -0.2386 Ha/atom
- Energy relative to the elements: 703 meV per atom

Unit cell a=4.739 b=4.739 c=4.739 alpha=90.00 beta=90.00 gamma=90.00
Element x y z (fractional)
Zr 0.000 0.000 0.000
Ti 0.000 0.500 0.500
Ti 0.500 0.000 0.500
Ti 0.500 0.500 0.000
Al 0.500 0.500 0.500


Record 2
The following is a DFT calculation (PBE-GGA) of crystalline ZrTi3Al at its relaxed geometry.

Output
- ΔE to the lowest computed polymorph: 926.5 meV per atom
- V: 21.87 A^3/atom
- E_tot: -0.2230 Ha/atom
- Energy relative to the elements: 1126 meV per atom

Unit cell a=4.782 b=4.782 c=4.782 alpha=90.00 beta=90.00 gamma=90.00
Element x y z (fractional)
Zr 0.000 0.000 0.000
Ti 0.000 0.000 0.500
Ti 0.000 0.500 0.000
Ti 0.500 0.000 0.000
Al 0.500 0.500 0.500


Record 3
The following is a DFT calculation (PBE-GGA) of crystalline ZrTi4Al at its relaxed geometry.

Output
- ΔE to the lowest computed polymorph: 160.8 meV per atom
- V: 18.45 A^3/atom
- E_tot: -0.2660 Ha/atom
- Energy relative to the elements: 75 meV per atom

Unit cell a=5.389 b=5.389 c=5.389 alpha=60.00 beta=60.00 gamma=60.00
Element x y z (fractional)
Zr 0.000 0.000 0.000
Ti 0.118 0.627 0.627
Ti 0.627 0.118 0.627
Ti 0.627 0.627 0.118
Ti 0.627 0.627 0.627
Al 0.250 0.250 0.250


Record 4
The following is a DFT calculation (PBE-GGA) of crystalline Zr12TiAl3 at its relaxed geometry.

Output
- V: 21.30 A^3/atom
- E_tot: -0.2868 Ha/atom
- Energy relative to the elements: -199 meV per atom

Unit cell a=4.396 b=4.396 c=17.631 alpha=90.00 beta=90.00 gamma=90.00
Element x y z (fractional)
Zr 0.000 0.000 0.000
Zr 0.000 0.000 0.247
Zr 0.000 0.000 0.500
Zr 0.000 0.000 0.753
Zr 0.000 0.500 0.124
Zr 0.000 0.500 0.374
Zr 0.000 0.500 0.626
Zr 0.000 0.500 0.876
Zr 0.500 0.000 0.124
Zr 0.500 0.000 0.374
Zr 0.500 0.000 0.626
Zr 0.500 0.000 0.876
Ti 0.500 0.500 0.500
Al 0.500 0.500 0.000
Al 0.500 0.500 0.248
Al 0.500 0.500 0.752


Copy entry 3 word for word.
The following is a DFT calculation (PBE-GGA) of crystalline ZrTi4Al at its relaxed geometry.

Output
- ΔE to the lowest computed polymorph: 160.8 meV per atom
- V: 18.45 A^3/atom
- E_tot: -0.2660 Ha/atom
- Energy relative to the elements: 75 meV per atom

Unit cell a=5.389 b=5.389 c=5.389 alpha=60.00 beta=60.00 gamma=60.00
Element x y z (fractional)
Zr 0.000 0.000 0.000
Ti 0.118 0.627 0.627
Ti 0.627 0.118 0.627
Ti 0.627 0.627 0.118
Ti 0.627 0.627 0.627
Al 0.250 0.250 0.250


- Which of these has the highest E_tot?
  number 2